Entry 1:
# VZn2Ir2 (PBE-GGA, optimized geometry)
# Electronic total energy   -5.89 eV/atom
# Calculated formation energy   -0.013 eV per atom
data_VZn2Ir2
_space_group_name_H-M_alt 'P 1'
_space_group_IT_number 1
_cell_length_a 7.100
_cell_length_b 7.100
_cell_length_c 2.897
_cell_angle_alpha 90.00
_cell_angle_beta 90.00
_cell_angle_gamma 90.00
loop_
_space_group_symop_operation_xyz
'x,y,z'
loop_
_atom_site_label
_atom_site_type_symbol
_atom_site_fract_x
_atom_site_fract_y
_atom_site_fract_z
V1 V 0.000 0.000 0.000
V2 V 0.500 0.500 0.000
Zn1 Zn 0.121 0.379 0.000
Zn2 Zn 0.379 0.879 0.000
Zn3 Zn 0.621 0.121 0.000
Zn4 Zn 0.879 0.621 0.000
Ir1 Ir 0.179 0.679 0.500
Ir2 Ir 0.321 0.179 0.500
Ir3 Ir 0.679 0.821 0.500
Ir4 Ir 0.821 0.321 0.500


Entry 2:
# SmEr2Sc (PBE-GGA, optimized geometry)
# Electronic total energy   -5.00 eV/atom
# Calculated formation energy   0.045 eV per atom
data_SmEr2Sc
_space_group_name_H-M_alt 'P 1'
_space_group_IT_number 1
_cell_length_a 3.484
_cell_length_b 3.484
_cell_length_c 9.810
_cell_angle_alpha 90.00
_cell_angle_beta 90.00
_cell_angle_gamma 90.00
loop_
_space_group_symop_operation_xyz
'x,y,z'
loop_
_atom_site_label
_atom_site_type_symbol
_atom_site_fract_x
_atom_site_fract_y
_atom_site_fract_z
Sm1 Sm 0.000 0.000 0.000
Er1 Er 0.500 0.500 0.264
Er2 Er 0.500 0.500 0.736
Sc1 Sc 0.000 0.000 0.500


Entry 3:
# Cs2GaSiI6 (PBE-GGA, optimized geometry)
# Electronic total energy   -2.71 eV/atom
# Formation energy from raw total energies   -764.2 meV/atom
data_Cs2GaSiI6
_space_group_name_H-M_alt 'P 1'
_space_group_IT_number 1
_cell_length_a 8.372
_cell_length_b 8.372
_cell_length_c 8.372
_cell_angle_alpha 119.87
_cell_angle_beta 119.87
_cell_angle_gamma 90.22
loop_
_space_group_symop_operation_xyz
'x,y,z'
loop_
_atom_site_label
_atom_site_type_symbol
_atom_site_fract_x
_atom_site_fract_y
_atom_site_fract_z
Cs1 Cs 0.250 0.750 0.500
Cs2 Cs 0.750 0.250 0.500
Ga1 Ga 0.000 0.000 0.000
Si1 Si 0.500 0.500 0.000
I1 I 0.258 0.258 0.000
I2 I 0.259 0.259 0.517
I3 I 0.259 0.741 0.000
I4 I 0.741 0.259 0.000
I5 I 0.741 0.741 0.483
I6 I 0.742 0.742 0.000


Entry 4:
# PaTl3Sb3Te8 (PBE-GGA, optimized geometry)
# Electronic total energy   -3.94 eV/atom
# Formation energy from raw total energies   -336.8 meV/atom
data_PaTl3Sb3Te8
_space_group_name_H-M_alt 'P 1'
_space_group_IT_number 1
_cell_length_a 9.570
_cell_length_b 9.570
_cell_length_c 9.570
_cell_angle_alpha 55.49
_cell_angle_beta 55.49
_cell_angle_gamma 55.49
loop_
_space_group_symop_operation_xyz
'x,y,z'
loop_
_atom_site_label
_atom_site_type_symbol
_atom_site_fract_x
_atom_site_fract_y
_atom_site_fract_z
Pa1 Pa 0.000 0.000 0.000
Tl1 Tl 0.000 0.000 0.500
Tl2 Tl 0.000 0.500 0.000
Tl3 Tl 0.500 0.000 0.000
Sb1 Sb 0.000 0.500 0.500
Sb2 Sb 0.500 0.000 0.500
Sb3 Sb 0.500 0.500 0.000
Te1 Te 0.237 0.237 0.740
Te2 Te 0.237 0.740 0.237
Te3 Te 0.260 0.763 0.763
Te4 Te 0.261 0.261 0.261
Te5 Te 0.739 0.739 0.739
Te6 Te 0.740 0.237 0.237
Te7 Te 0.763 0.260 0.763
Te8 Te 0.763 0.763 0.260


Entry 5:
# Tb4Ag3Ir (PBE-GGA, optimized geometry)
# Electronic total energy   -4.94 eV/atom
# Calculated formation energy   -0.445 eV per atom
data_Tb4Ag3Ir
_space_group_name_H-M_alt 'P 1'
_space_group_IT_number 1
_cell_length_a 3.575
_cell_length_b 3.575
_cell_length_c 14.598
_cell_angle_alpha 90.00
_cell_angle_beta 90.00
_cell_angle_gamma 90.00
loop_
_space_group_symop_operation_xyz
'x,y,z'
loop_
_atom_site_label
_atom_site_type_symbol
_atom_site_fract_x
_atom_site_fract_y
_atom_site_fract_z
Tb1 Tb 0.000 0.000 0.111
Tb2 Tb 0.000 0.000 0.371
Tb3 Tb 0.000 0.000 0.629
Tb4 Tb 0.000 0.000 0.889
Ag1 Ag 0.500 0.500 0.245
Ag2 Ag 0.500 0.500 0.500
Ag3 Ag 0.500 0.500 0.755
Ir1 Ir 0.500 0.500 0.000


Entry 6:
# PIrPd (PBE-GGA, optimized geometry)
# Electronic total energy   -6.80 eV/atom
# Calculated formation energy   -0.316 eV per atom
data_PIrPd
_space_group_name_H-M_alt 'P 1'
_space_group_IT_number 1
_cell_length_a 6.012
_cell_length_b 5.680
_cell_length_c 5.513
_cell_angle_alpha 90.00
_cell_angle_beta 95.71
_cell_angle_gamma 90.00
loop_
_space_group_symop_operation_xyz
'x,y,z'
loop_
_atom_site_label
_atom_site_type_symbol
_atom_site_fract_x
_atom_site_fract_y
_atom_site_fract_z
P1 P 0.137 0.031 0.318
P2 P 0.137 0.469 0.818
P3 P 0.863 0.531 0.182
P4 P 0.863 0.969 0.682
Ir1 Ir 0.226 0.663 0.190
Ir2 Ir 0.226 0.837 0.690
Ir3 Ir 0.774 0.163 0.310
Ir4 Ir 0.774 0.337 0.810
Pd1 Pd 0.361 0.187 0.029
Pd2 Pd 0.361 0.313 0.529
Pd3 Pd 0.639 0.687 0.471
Pd4 Pd 0.639 0.813 0.971